# ReRuNO2

Crystalline ReRuNO2 at its relaxed geometry (PBE-GGA, the Alexandria database).

## Properties
* formation energy (no corrections): 0.14 eV/atom

abc: 3.872 3.872 3.955
angles: 90.00 90.00 90.00
Fractional positions:
N: 0.000 0.000 0.500
O: 0.500 0.000 0.000
O: 0.000 0.500 0.000
Re: 0.000 0.000 0.000
Ru: 0.500 0.500 0.500